Record 1
Entry from the Alexandria database: crystalline In4SbAu at its relaxed geometry (PBE).

Cell: 6.1262 6.1262 6.1262 Å, 60.00 60.00 60.00°
Element x y z (fractional)
1 In 0.8756 0.3748 0.3748
2 In 0.3748 0.3748 0.8756
3 In 0.3748 0.8756 0.3748
4 In 0.3748 0.3748 0.3748
5 Sb 0.7500 0.7500 0.7500
6 Au 0.0000 0.0000 0.0000

Record 2
Entry from the Alexandria database: crystalline InSbAu2 at its relaxed geometry (PBE).

Properties
For the relative energy among the computed polymorphs, the calculation gives 97 meV/atom.

Cell: 4.8262 4.8262 9.3055 Å, 74.97 74.97 90.00°
Element x y z (fractional)
1 Sb 0.0000 0.0000 0.0000
2 Sb 0.7500 0.2500 0.5000
3 Au 0.6381 0.1250 0.2500
4 Au 0.1119 0.6250 0.2500
5 Au 0.3750 0.3619 0.7500
6 Au 0.8750 0.8881 0.7500
7 In 0.5000 0.5000 0.0000
8 In 0.2500 0.7500 0.5000

Record 3
Entry from the Alexandria database: crystalline InSb3Au2 at its relaxed geometry (PBE).

Cell: 4.1094 6.4821 6.4821 Å, 96.20 90.00 90.00°
Element x y z (fractional)
1 In 0.5000 0.8192 0.1808
2 Sb 0.5000 0.2352 0.7648
3 Sb 0.0000 0.6339 0.7568
4 Sb 0.0000 0.2432 0.3661
5 Au 0.0000 0.0281 0.9719
6 Au 0.5000 0.5404 0.4596

Record 4
Entry from the Alexandria database: crystalline InSbAu2 at its relaxed geometry (PBE).

Properties
For the relative energy among the computed polymorphs, the calculation gives 162 meV/atom.

Cell: 4.9982 4.9982 4.9982 Å, 60.00 60.00 60.00°
Element x y z (fractional)
1 Sb 0.5000 0.5000 0.5000
2 Au 0.2500 0.2500 0.2500
3 Au 0.7500 0.7500 0.7500
4 In 0.0000 0.0000 0.0000

Record 5
Entry from the Alexandria database: crystalline In2SbAu4 at its relaxed geometry (PBE).

Properties
For the relative energy among the computed polymorphs, the calculation gives 26 meV/atom.

Cell: 4.0160 4.0160 11.9075 Å, 80.29 80.29 60.00°
Element x y z (fractional)
1 In 0.7636 0.7636 0.7093
2 In 0.2364 0.2364 0.2907
3 Sb 0.0000 0.0000 0.0000
4 Au 0.8568 0.8568 0.4295
5 Au 0.1432 0.1432 0.5705
6 Au 0.6184 0.6184 0.1449
7 Au 0.3816 0.3816 0.8551

Record 6
Entry from the Alexandria database: crystalline InSbAu2 at its relaxed geometry (PBE).

Properties
For the relative energy among the computed polymorphs, the calculation gives 29 meV/atom.

Cell: 4.0421 4.0421 7.0827 Å, 73.40 73.40 59.89°
Element x y z (fractional)
1 Sb 0.7500 0.7500 0.7500
2 Au 0.0000 0.0000 0.9989
3 Au 0.5000 0.5000 0.5011
4 In 0.2500 0.2500 0.2500

Number 1: uncorrected formation energy 0.25 eV/atom. Number 2: uncorrected formation energy -0.02 eV/atom. Number 3: uncorrected formation energy 0.10 eV/atom. Number 4: uncorrected formation energy 0.04 eV/atom. Number 5: uncorrected formation energy -0.07 eV/atom. Number 6: uncorrected formation energy -0.09 eV/atom.